(1)
{"formula": "Pu3TlIr2", "functional": "PBE", "state": "optimized geometry", "lattice_angstrom": [[3.0664, 0.0000, 0.0000], [0.0000, 3.0664, 0.0000], [0.0000, 0.0000, 14.1237]], "species": ["Pu", "Pu", "Pu", "Tl", "Ir", "Ir"], "fractional_positions": [[0.0000, 0.0000, 0.0000], [0.0000, 0.0000, 0.1757], [0.0000, 0.0000, 0.8243], [0.5000, 0.5000, 0.5000], [0.5000, 0.5000, 0.3041], [0.5000, 0.5000, 0.6959]], "space_group": "P4/mmm"}



(2)
{"formula": "Pu2TlIr", "functional": "PBE", "state": "optimized geometry", "lattice_angstrom": [[1.9815, 1.1440, 8.1687], [-1.9815, 1.1440, 8.1687], [0.0000, -2.2880, 8.1687]], "species": ["Pu", "Pu", "Tl", "Ir"], "fractional_positions": [[0.0000, 0.0000, 0.0000], [0.2044, 0.2044, 0.2044], [0.4351, 0.4351, 0.4351], [0.6035, 0.6035, 0.6035]], "de_polymorph_mev_per_atom": 179, "space_group": "R3m"}



(3)
{"formula": "Pu4TlIr2", "functional": "PBE", "state": "optimized geometry", "lattice_angstrom": [[2.3331, 1.3470, 7.7376], [-2.3331, 1.3470, 7.7376], [0.0000, -2.6940, 7.7376]], "species": ["Pu", "Pu", "Pu", "Pu", "Tl", "Ir", "Ir"], "fractional_positions": [[0.0636, 0.0636, 0.0636], [0.2359, 0.2359, 0.2359], [0.7641, 0.7641, 0.7641], [0.9364, 0.9364, 0.9364], [0.5000, 0.5000, 0.5000], [0.3600, 0.3600, 0.3600], [0.6400, 0.6400, 0.6400]], "space_group": "R-3m"}



(4)
{"formula": "TmPu2Ir3", "functional": "PBE", "state": "optimized geometry", "lattice_angstrom": [[-1.9772, 2.7986, 5.9639], [1.9772, -2.7986, 5.9639], [1.9772, 2.7986, -5.9639]], "species": ["Tm", "Pu", "Pu", "Ir", "Ir", "Ir"], "fractional_positions": [[0.0000, 0.0000, 0.0000], [0.3376, 0.3376, 0.0000], [0.6624, 0.6624, 0.0000], [0.1775, 0.6775, 0.5000], [0.5000, 0.0000, 0.5000], [0.8225, 0.3225, 0.5000]], "space_group": "Immm"}



(5)
{"formula": "TmPuIr", "functional": "PBE", "state": "optimized geometry", "lattice_angstrom": [[4.7880, 0.0000, 0.0000], [-2.3940, 4.1465, 0.0000], [0.0000, 0.0000, 3.2047]], "species": ["Tm", "Pu", "Ir"], "fractional_positions": [[0.0000, 0.0000, 0.0000], [0.3333, 0.6667, 0.3887], [0.6667, 0.3333, 0.6702]], "de_polymorph_mev_per_atom": 231, "space_group": "P3m1"}



(6)
{"formula": "TmPuIr4", "functional": "PBE", "state": "optimized geometry", "lattice_angstrom": [[0.0000, 3.7794, 3.7794], [3.7794, 0.0000, 3.7794], [3.7794, 3.7794, 0.0000]], "species": ["Tm", "Pu", "Ir", "Ir", "Ir", "Ir"], "fractional_positions": [[0.0000, 0.0000, 0.0000], [0.2500, 0.2500, 0.2500], [0.1249, 0.6250, 0.6250], [0.6250, 0.1249, 0.6250], [0.6250, 0.6250, 0.1249], [0.6250, 0.6250, 0.6250]], "space_group": "F-43m"}



(7)
{"formula": "TmPu2Ir", "functional": "PBE", "state": "optimized geometry", "lattice_angstrom": [[1.7853, 1.0308, 10.0181], [-1.7853, 1.0308, 10.0181], [0.0000, -2.0615, 10.0181]], "species": ["Tm", "Pu", "Pu", "Ir"], "fractional_positions": [[0.0000, 0.0000, 0.0000], [0.1049, 0.1049, 0.1049], [0.8951, 0.8951, 0.8951], [0.5000, 0.5000, 0.5000]], "space_group": "R-3m"}



(8)
{"formula": "TmPuIr", "functional": "PBE", "state": "optimized geometry", "lattice_angstrom": [[-2.0029, 2.8944, 6.1971], [2.0029, -2.8944, 6.1971], [2.0029, 2.8944, -6.1971]], "species": ["Tm", "Tm", "Pu", "Pu", "Ir", "Ir"], "fractional_positions": [[0.2172, 0.2172, 0.0000], [0.7828, 0.7828, 0.0000], [0.2515, 0.5000, 0.7515], [0.7485, 0.5000, 0.2485], [0.3718, 0.8718, 0.5000], [0.6282, 0.1282, 0.5000]], "de_polymorph_mev_per_atom": 0, "space_group": "Immm"}



(9)
{"formula": "TmPu2Ir9", "functional": "PBE", "state": "optimized geometry", "lattice_angstrom": [[2.6423, 1.5255, 8.7942], [-2.6423, 1.5255, 8.7942], [0.0000, -3.0511, 8.7942]], "species": ["Tm", "Pu", "Pu", "Ir", "Ir", "Ir", "Ir", "Ir", "Ir", "Ir", "Ir", "Ir"], "fractional_positions": [[0.0000, 0.0000, 0.0000], [0.1397, 0.1397, 0.1397], [0.8603, 0.8603, 0.8603], [0.0809, 0.5838, 0.5838], [0.3331, 0.3331, 0.3331], [0.4162, 0.4162, 0.9191], [0.4162, 0.9191, 0.4162], [0.5000, 0.5000, 0.5000], [0.5838, 0.0809, 0.5838], [0.5838, 0.5838, 0.0809], [0.6669, 0.6669, 0.6669], [0.9191, 0.4162, 0.4162]], "space_group": "R-3m"}



(10)
{"formula": "TmPuIr", "functional": "PBE", "state": "optimized geometry", "lattice_angstrom": [[-1.7178, 1.7178, 6.0257], [1.7178, -1.7178, 6.0257], [1.7178, 1.7178, -6.0257]], "species": ["Tm", "Pu", "Ir"], "fractional_positions": [[0.0000, 0.0000, 0.0000], [0.7289, 0.7289, 0.0000], [0.3687, 0.3687, 0.0000]], "de_polymorph_mev_per_atom": 88, "space_group": "I4mm"}



(11)
{"formula": "TmPuIr", "functional": "PBE", "state": "optimized geometry", "lattice_angstrom": [[0.0000, 3.3687, 3.3687], [3.3687, 0.0000, 3.3687], [3.3687, 3.3687, 0.0000]], "species": ["Tm", "Pu", "Ir"], "fractional_positions": [[0.0000, 0.0000, 0.0000], [0.5000, 0.5000, 0.5000], [0.7500, 0.7500, 0.7500]], "de_polymorph_mev_per_atom": 23, "space_group": "F-43m"}



(12)
{"formula": "Tm2Pu2Ir3", "functional": "PBE", "state": "optimized geometry", "lattice_angstrom": [[4.3684, 0.0000, 0.0000], [-0.0072, 5.4857, 0.0000], [-2.1692, -0.9812, 6.6696]], "species": ["Tm", "Tm", "Pu", "Pu", "Ir", "Ir", "Ir"], "fractional_positions": [[0.1434, 0.1033, 0.2866], [0.8566, 0.8967, 0.7134], [0.3954, 0.4070, 0.7933], [0.6046, 0.5930, 0.2067], [0.2298, 0.6583, 0.4590], [0.5000, 0.0000, 0.0000], [0.7702, 0.3417, 0.5410]], "space_group": "P-1"}



Number 1: energy of formation from the pure elements 22.9 kJ/mol of atoms. Number 2: energy of formation from the pure elements -10.3 kJ/mol of atoms. Number 3: energy of formation from the pure elements -10.5 kJ/mol of atoms. Number 4: energy of formation from the pure elements -41.1 kJ/mol of atoms. Number 5: energy of formation from the pure elements -26.0 kJ/mol of atoms. Number 6: energy of formation from the pure elements -66.2 kJ/mol of atoms. Number 7: energy of formation from the pure elements 13.4 kJ/mol of atoms. Number 8: energy of formation from the pure elements -48.3 kJ/mol of atoms. Number 9: energy of formation from the pure elements -44.0 kJ/mol of atoms. Number 10: energy of formation from the pure elements -39.8 kJ/mol of atoms. Number 11: energy of formation from the pure elements -46.0 kJ/mol of atoms. Number 12: energy of formation from the pure elements -53.4 kJ/mol of atoms.